Sr2Li3WF12 PBE+U optimized geometry; E = -0.187 hartree per atom; symmetry = No. 166; ρ = 3.7 g/cm3
1.0
7.935 0.701 0.497
4.528 6.554 0.497
4.528 2.636 6.021
Sr Li W F
2 3 1 12
Cartesian
9.864 5.742 4.073
7.127 4.148 2.942
3.968 0.350 0.248
2.264 3.277 0.248
2.264 1.318 3.011
0.000 0.000 0.000
8.484 4.939 5.766
12.824 7.465 2.879
10.842 8.591 6.093
10.341 3.884 2.755
12.824 5.185 6.093
8.484 7.074 2.755
8.507 4.952 1.249
4.166 2.425 4.136
6.149 1.299 0.922
6.650 6.006 4.260
4.166 4.705 0.922
8.507 2.816 4.260